Entry 1:
The following is a PBE calculation of a relaxed LaTb3B crystal, from Alexandria.

Lattice parameters (Å, degrees): 5.2194 5.2194 5.2194 90.00 90.00 90.00
Fractional coordinates of all 5 atoms:
La 0.0000 0.0000 0.0000
Tb 0.0000 0.5000 0.5000
Tb 0.5000 0.0000 0.5000
Tb 0.5000 0.5000 0.0000
B 0.5000 0.5000 0.5000

## Properties
calculated total energy = -25.2 eV per formula unit
calculated density = 7.32 g cm⁻³
calculated volume = 28.44 A^3/atom
formation energy from the elements = 0.05 eV per atom

Entry 2:
The following is a PBE calculation of a relaxed AsPb2Au crystal, from Alexandria.

Lattice parameters (Å, degrees): 3.4018 3.8836 7.5528 90.00 90.34 90.00
Fractional coordinates of all 4 atoms:
As 0.0000 0.0000 0.0000
Pb 0.4987 0.5000 0.2528
Pb 0.5013 0.5000 0.7472
Au 0.0000 0.0000 0.5000

## Properties
calculated total energy = -15.1 eV per formula unit
calculated density = 11.42 g cm⁻³
calculated volume = 24.94 A^3/atom
formation energy from the elements = 0.05 eV per atom